No. 1
Li2Al4Zn, relaxed, DFT PBE; total magnetic moment = 0.000 μB/cell; mass density = 2.68 Mg/m³; total energy = -2.862 eV/atom; DFT formation energy = 0.5 kJ per mole of atoms; DOS(E_F) = 2.681 states/eV/f.u.
1.0
-1.5527 -5.0817 -0.7136
0.7076 -0.0308 5.3143
-7.8064 2.2374 1.0524
Li Al Zn
4 8 2
direct
0.7146 0.2854 0.0000
0.2854 0.7146 0.0000
0.7146 0.2854 0.5000
0.2854 0.7146 0.5000
0.1994 0.1994 0.5000
0.0000 0.5000 0.7500
0.1994 0.1994 0.0000
0.8006 0.8006 0.0000
0.0000 0.5000 0.2500
0.8006 0.8006 0.5000
0.5000 0.0000 0.7500
0.5000 0.0000 0.2500
0.5000 0.5000 0.7500
0.5000 0.5000 0.2500

***

No. 2
Li2AlZn, relaxed, DFT PBE; total magnetic moment = 0.000 μB/cell; mass density = 2.80 Mg/m³; total energy = -2.296 eV/atom; DFT formation energy = -8.2 kJ per mole of atoms; DOS(E_F) = 2.097 states/eV/f.u.
1.0
-2.5375 0.7129 0.9872
-2.3224 -0.8480 -1.3450
-1.7826 -7.6727 4.9705
Li Zn Al
2 1 1
direct
0.0816 0.0816 0.7551
0.2518 0.2518 0.2447
0.6664 0.6664 0.0008
0.5002 0.5002 0.4994